(1)
# Ag7AsSe6 | Alexandria via LeMat-Bulk | GGA-PBE | optimized geometry
# Total magnetization (μB/atom): 0.000
# Energy (eV for the cell shown): -186.24
# Polymorph energy (0 for the lowest one) (meV per atom): 0.0
# Mass density (g/cm³): 6.490
# Formation energy without anion corrections (eV per atom): -0.075
data_Ag7AsSe6
_chemical_formula_sum 'Ag28 As4 Se24'
_symmetry_space_group_name_H-M 'P 21 3'
_symmetry_Int_Tables_number 198
_symmetry_space_group_name_Hall 'P 2ac 2ab 3'
_cell_length_a 11.0090
_cell_length_b 11.0090
_cell_length_c 11.0090
_cell_angle_alpha 90.00
_cell_angle_beta 90.00
_cell_angle_gamma 90.00
loop_
_atom_site_label
_atom_site_fract_x
_atom_site_fract_y
_atom_site_fract_z
Ag1 0.0081 0.4807 0.7805
Ag2 0.0720 0.6058 0.2302
Ag3 0.1549 0.8451 0.3451
As1 0.2456 0.7456 0.7544
Se1 0.0204 0.9796 0.4796
Se2 0.1129 0.6335 0.6276
Se3 0.1285 0.1285 0.1285
Se4 0.2125 0.2875 0.7125

=====

(2)
# GdYOsAu | Alexandria via LeMat-Bulk | GGA-PBE | optimized geometry
# Total magnetization (μB/atom): 1.753
# E_form (eV per atom): -0.44
# Energy (eV for the cell shown): -147.21
# Mass density (g/cm³): 12.093
data_GdYOsAu
_chemical_formula_sum 'Gd4 Y4 Os4 Au4'
_symmetry_space_group_name_H-M 'F -4 3 m'
_symmetry_Int_Tables_number 216
_symmetry_space_group_name_Hall 'F -4 2 3'
_cell_length_a 7.0330
_cell_length_b 7.0330
_cell_length_c 7.0330
_cell_angle_alpha 90.00
_cell_angle_beta 90.00
_cell_angle_gamma 90.00
loop_
_atom_site_label
_atom_site_fract_x
_atom_site_fract_y
_atom_site_fract_z
Gd1 0.0000 0.0000 0.0000
Y1 0.0000 0.0000 0.5000
Os1 0.2500 0.2500 0.7500
Au1 0.2500 0.2500 0.2500

=====

(3)
# SrYSb2Te | Alexandria via LeMat-Bulk | GGA-PBE | optimized geometry
# Total magnetization (μB/atom): 0.000
# Energy (eV for the cell shown): -17.97
# Polymorph energy (0 for the lowest one) (meV per atom): 802.9
# Mass density (g/cm³): 4.570
# Formation energy without anion corrections (eV per atom): 0.312
data_SrYSb2Te
_chemical_formula_sum 'Sr1 Y1 Sb2 Te1'
_symmetry_space_group_name_H-M 'P 4/m m m'
_symmetry_Int_Tables_number 123
_symmetry_space_group_name_Hall '-P 4 2'
_cell_length_a 5.8074
_cell_length_b 5.8074
_cell_length_c 5.9006
_cell_angle_alpha 90.00
_cell_angle_beta 90.00
_cell_angle_gamma 90.00
loop_
_atom_site_label
_atom_site_fract_x
_atom_site_fract_y
_atom_site_fract_z
Sr1 0.0000 0.0000 0.0000
Y1 0.5000 0.5000 0.5000
Sb1 0.0000 0.5000 0.0000
Te1 0.0000 0.0000 0.5000

=====

(4)
# Th2SbSe2 | Alexandria via LeMat-Bulk | GGA-PBE | optimized geometry
# Total magnetization (μB/atom): 0.000
# Energy (eV for the cell shown): -65.25
# Polymorph energy (0 for the lowest one) (meV per atom): 0.0
# Mass density (g/cm³): 7.229
# Formation energy without anion corrections (eV per atom): -1.338
data_Th2SbSe2
_chemical_formula_sum 'Th4 Sb2 Se4'
_symmetry_space_group_name_H-M 'C 1 2/m 1'
_symmetry_Int_Tables_number 12
_cell_length_a 7.6060
_cell_length_b 4.3887
_cell_length_c 10.2363
_cell_angle_alpha 90.00
_cell_angle_beta 90.48
_cell_angle_gamma 90.00
loop_
_symmetry_equiv_pos_as_xyz
'x,y,z'
'-x,-y,-z'
'-x,y,-z'
'x,-y,z'
'x+1/2,y+1/2,z'
'-x+1/2,-y+1/2,-z'
'-x+1/2,y+1/2,-z'
'x+1/2,-y+1/2,z'
loop_
_atom_site_label
_atom_site_fract_x
_atom_site_fract_y
_atom_site_fract_z
Th1 0.1690 0.0000 0.1895
Sb1 0.0000 0.5000 0.0000
Se1 0.1627 0.0000 0.6670